# 1
Crystalline KLiNd2S4 at its relaxed geometry. Source: the Alexandria database, functional GGA-PBE.

Results
E_tot = -5.4544 eV per atom
SG = Cmcm (63)
Formation energy without anion corrections = -1.822 eV per atom

a = 4.160 Å, b = 7.233 Å, c = 14.285 Å
α = 90.00°, β = 90.00°, γ = 106.71°
Fractional positions:
K  0.106  0.212  0.750
K  0.894  0.788  0.250
S  0.000  0.000  0.000
S  0.574  0.149  0.250
S  0.426  0.851  0.750
S  0.738  0.477  0.890
S  0.738  0.477  0.610
S  0.000  0.000  0.500
S  0.262  0.523  0.110
S  0.262  0.523  0.390
Nd  0.366  0.732  0.561
Nd  0.634  0.268  0.439
Nd  0.634  0.268  0.061
Nd  0.366  0.732  0.939
Li  0.835  0.671  0.750
Li  0.165  0.329  0.250

=====

# 2
Crystalline LaCu2PtS at its relaxed geometry. Source: the Alexandria database, functional GGA-PBE.

Results
E_tot = -3.5148 eV per atom
SG = P4/mmm (123)
Formation energy without anion corrections = 1.143 eV per atom

a = 5.190 Å, b = 5.208 Å, c = 5.190 Å
α = 90.00°, β = 90.00°, γ = 90.00°
Fractional positions:
Cu  0.500  0.000  0.000
Cu  0.000  0.000  0.500
Pt  0.500  0.500  0.500
S  0.000  0.500  0.000
La  0.000  0.000  0.000

=====

# 3
Crystalline TlOs3 at its relaxed geometry. Source: the Alexandria database, functional GGA-PBE.

Results
E_tot = -8.1028 eV per atom
Formation enthalpy at 0 K = 0.91 eV/atom
SG = Cmcm (63)
Excess energy over the best structure of this formula in the dataset = 0.95 eV/f.u.

a = 5.742 Å, b = 5.742 Å, c = 4.473 Å
α = 90.00°, β = 90.00°, γ = 119.16°
Fractional positions:
Os  0.424  0.576  0.250
Os  0.093  0.425  0.750
Os  0.575  0.907  0.750
Os  0.576  0.424  0.750
Os  0.425  0.093  0.250
Os  0.907  0.575  0.250
Tl  0.092  0.908  0.750
Tl  0.908  0.092  0.250

=====

# 4
Crystalline Tm4InTe5 at its relaxed geometry. Source: the Alexandria database, functional GGA-PBE.

Results
E_tot = -4.5302 eV per atom
SG = Pmmn (59)
Formation energy without anion corrections = -0.897 eV per atom

a = 7.663 Å, b = 9.696 Å, c = 9.197 Å
α = 90.00°, β = 90.00°, γ = 90.00°
Fractional positions:
Tm  0.490  0.723  0.500
Tm  0.911  0.500  0.739
Tm  0.510  0.777  0.000
Tm  0.089  0.000  0.239
Tm  0.911  0.500  0.261
Tm  0.510  0.223  0.000
Tm  0.089  0.000  0.761
Tm  0.490  0.277  0.500
In  0.203  0.500  0.500
In  0.797  0.000  0.000
Te  0.764  0.797  0.721
Te  0.677  0.500  0.000
Te  0.764  0.797  0.279
Te  0.764  0.203  0.279
Te  0.236  0.297  0.221
Te  0.236  0.703  0.221
Te  0.323  0.000  0.500
Te  0.764  0.203  0.721
Te  0.236  0.297  0.779
Te  0.236  0.703  0.779

=====

# 5
Crystalline NaAc2P3Pd12 at its relaxed geometry. Source: the Alexandria database, functional GGA-PBE.

Results
E_tot = -5.3202 eV per atom
Formation enthalpy at 0 K = -0.43 eV/atom
SG = R-3m (166)

a = 7.382 Å, b = 7.382 Å, c = 7.382 Å
α = 72.78°, β = 72.78°, γ = 72.78°
Fractional positions:
Pd  0.629  0.145  0.145
Pd  0.855  0.371  0.855
Pd  0.299  0.880  0.299
Pd  0.701  0.701  0.120
Pd  0.145  0.145  0.629
Pd  0.145  0.629  0.145
Pd  0.120  0.701  0.701
Pd  0.880  0.299  0.299
Pd  0.371  0.855  0.855
Pd  0.299  0.299  0.880
Pd  0.701  0.120  0.701
Pd  0.855  0.855  0.371
Na  0.000  0.000  0.000
P  0.500  0.000  0.000
P  0.000  0.500  0.000
P  0.000  0.000  0.500
Ac  0.613  0.613  0.613
Ac  0.387  0.387  0.387

=====

# 6
Crystalline La3CoAu2 at its relaxed geometry. Source: the Alexandria database, functional GGA-PBE.

Results
E_tot = -5.2310 eV per atom
Formation enthalpy at 0 K = -0.49 eV/atom
SG = C2/c (15)

a = 6.199 Å, b = 7.759 Å, c = 14.859 Å
α = 87.85°, β = 84.62°, γ = 66.45°
Fractional positions:
La  0.129  0.375  0.374
La  0.172  0.180  0.979
La  0.871  0.625  0.626
La  0.377  0.246  0.750
La  0.495  0.375  0.126
La  0.352  0.820  0.479
La  0.505  0.625  0.874
La  0.623  0.754  0.250
La  0.990  0.020  0.250
La  0.010  0.980  0.750
La  0.828  0.820  0.021
La  0.648  0.180  0.521
Co  0.429  0.089  0.170
Co  0.518  0.911  0.670
Co  0.571  0.911  0.830
Co  0.482  0.089  0.330
Au  0.132  0.192  0.576
Au  0.386  0.600  0.658
Au  0.014  0.600  0.842
Au  0.986  0.400  0.158
Au  0.675  0.192  0.924
Au  0.868  0.808  0.424
Au  0.614  0.400  0.342
Au  0.325  0.808  0.076

=====

# 7
Crystalline Tb6AlZn at its relaxed geometry. Source: the Alexandria database, functional GGA-PBE.

Results
E_tot = -4.2646 eV per atom
Formation enthalpy at 0 K = -0.16 eV/atom
SG = Fmmm (69)

a = 5.060 Å, b = 5.060 Å, c = 9.430 Å
α = 74.49°, β = 74.49°, γ = 90.09°
Fractional positions:
Al  0.500  0.500  0.000
Zn  0.000  0.000  0.000
Tb  0.605  0.105  0.791
Tb  0.105  0.605  0.791
Tb  0.895  0.395  0.209
Tb  0.749  0.749  0.503
Tb  0.395  0.895  0.209
Tb  0.251  0.251  0.497

=====

# 8
Crystalline PuBi2HO6 at its relaxed geometry. Source: the Alexandria database, functional GGA-PBE.

Results
E_tot = -7.1578 eV per atom
SG = P2_1/c (14)

a = 6.329 Å, b = 4.294 Å, c = 10.761 Å
α = 90.00°, β = 83.18°, γ = 90.00°
Site moments in Bohr magnetons follow the coordinates.
Fractional positions:
H  0.000  0.500  0.000  0.00
H  0.500  0.000  0.500  0.00
O  0.337  0.286  0.100  -0.13
O  0.374  0.133  0.812  -0.02
O  0.626  0.867  0.188  -0.02
O  0.377  0.226  0.524  -0.01
O  0.623  0.774  0.476  -0.01
O  0.663  0.714  0.900  -0.13
O  0.874  0.367  0.312  -0.02
O  0.163  0.786  0.400  -0.13
O  0.126  0.633  0.688  -0.02
O  0.877  0.274  0.024  -0.01
O  0.123  0.726  0.976  -0.01
O  0.837  0.214  0.600  -0.13
Bi  0.466  0.524  0.675  0.00
Bi  0.034  0.024  0.825  0.00
Bi  0.966  0.976  0.175  0.00
Bi  0.534  0.476  0.325  0.00
Pu  0.000  0.500  0.500  3.32
Pu  0.500  0.000  0.000  3.32

=====

# 9
Crystalline Pr4BeO7 at its relaxed geometry. Source: the Alexandria database, functional GGA-PBE.

Results
E_tot = -7.8396 eV per atom
SG = C2/m (12)
Formation energy without anion corrections = -3.044 eV per atom

a = 4.096 Å, b = 6.869 Å, c = 6.858 Å
α = 80.11°, β = 72.62°, γ = 72.65°
Fractional positions:
O  0.074  0.764  0.088
O  0.637  0.446  0.281
O  0.199  0.149  0.452
O  0.500  0.000  0.000
O  0.363  0.554  0.719
O  0.801  0.851  0.548
O  0.926  0.236  0.912
Pr  0.417  0.786  0.380
Pr  0.736  0.671  0.858
Pr  0.583  0.214  0.620
Pr  0.264  0.329  0.142
Be  0.000  0.000  0.000

=====

# 10
Crystalline Tb4TmSc7 at its relaxed geometry. Source: the Alexandria database, functional GGA-PBE.

Results
E_tot = -5.3327 eV per atom
Formation enthalpy at 0 K = 0.28 eV/atom
SG = C2/m (12)

a = 5.526 Å, b = 11.270 Å, c = 6.297 Å
α = 87.08°, β = 63.97°, γ = 75.81°
Site moments in Bohr magnetons follow the coordinates.
Fractional positions:
Sc  0.968  0.382  0.681  0.00
Sc  0.500  0.000  0.000  0.24
Sc  0.793  0.915  0.500  0.02
Sc  0.207  0.085  0.500  0.02
Sc  0.354  0.515  0.777  -0.01
Sc  0.032  0.618  0.319  0.00
Sc  0.646  0.485  0.223  -0.01
Tm  0.000  0.000  0.000  0.21
Tb  0.697  0.706  0.901  0.00
Tb  0.303  0.294  0.099  0.00
Tb  0.352  0.774  0.521  0.00
Tb  0.648  0.226  0.479  0.00

=====

# 11
Crystalline Ca2LaMo at its relaxed geometry. Source: the Alexandria database, functional GGA-PBE.

Results
E_tot = -4.4876 eV per atom
Formation enthalpy at 0 K = 0.45 eV/atom
SG = Pm (6)
Excess energy over the best structure of this formula in the dataset = 0.00 eV/f.u.

a = 3.715 Å, b = 3.710 Å, c = 9.764 Å
α = 67.75°, β = 90.00°, γ = 90.00°
Site moments in Bohr magnetons follow the coordinates.
Fractional positions:
La  0.000  0.429  0.571  0.02
Mo  0.500  0.780  0.721  0.55
Ca  0.000  0.058  0.942  0.00
Ca  0.500  0.233  0.266  -0.01

=====

# 12
Crystalline Ag8BiAu4 at its relaxed geometry. Source: the Alexandria database, functional GGA-PBE.

Results
E_tot = -3.0380 eV per atom
Formation enthalpy at 0 K = 0.02 eV/atom
SG = Pmm2 (25)

a = 4.744 Å, b = 2.957 Å, c = 18.264 Å
α = 90.00°, β = 90.00°, γ = 90.00°
Fractional positions:
Au  0.000  0.000  0.064
Au  0.500  0.500  0.446
Au  0.000  0.500  0.646
Au  0.500  0.000  0.876
Ag  0.000  0.000  0.784
Ag  0.000  0.500  0.201
Ag  0.500  0.000  0.594
Ag  0.500  0.500  0.736
Ag  0.000  0.500  0.924
Ag  0.500  0.500  0.017
Ag  0.000  0.000  0.508
Ag  0.500  0.000  0.160
Bi  0.000  0.000  0.348

=====

# 13
Crystalline SrAc3Rh2 at its relaxed geometry. Source: the Alexandria database, functional GGA-PBE.

Results
E_tot = -5.2813 eV per atom
Formation enthalpy at 0 K = -0.50 eV/atom
SG = C2/m (12)

a = 4.354 Å, b = 9.465 Å, c = 11.315 Å
α = 81.77°, β = 78.91°, γ = 76.70°
Fractional positions:
Ac  0.689  0.679  0.942
Ac  0.811  0.823  0.555
Ac  0.189  0.177  0.445
Ac  0.941  0.927  0.192
Ac  0.059  0.073  0.808
Ac  0.311  0.321  0.058
Rh  0.372  0.881  0.375
Rh  0.873  0.368  0.886
Rh  0.127  0.632  0.114
Rh  0.628  0.119  0.625
Sr  0.436  0.435  0.693
Sr  0.564  0.565  0.307

=====

# 14
Crystalline Mg2CdCoSn at its relaxed geometry. Source: the Alexandria database, functional GGA-PBE.

Results
E_tot = -2.9682 eV per atom
Formation enthalpy at 0 K = 0.07 eV/atom
SG = P4/mmm (123)

a = 4.910 Å, b = 4.910 Å, c = 4.777 Å
α = 90.00°, β = 90.00°, γ = 90.00°
Fractional positions:
Mg  0.500  0.000  0.000
Mg  0.000  0.500  0.000
Co  0.000  0.000  0.000
Sn  0.000  0.000  0.500
Cd  0.500  0.500  0.500

=====

# 15
Crystalline La2SbH at its relaxed geometry. Source: the Alexandria database, functional GGA-PBE.

Results
E_tot = -4.8802 eV per atom
SG = Fm-3m (225)
Excess energy over the best structure of this formula in the dataset = 0.89 eV/f.u.

a = 5.303 Å, b = 5.303 Å, c = 5.303 Å
α = 60.00°, β = 60.00°, γ = 60.00°
Fractional positions:
La  0.750  0.750  0.750
La  0.250  0.250  0.250
Sb  0.500  0.500  0.500
H  0.000  0.000  0.000

=====

# 16
Crystalline Sc6CdAg5 at its relaxed geometry. Source: the Alexandria database, functional GGA-PBE.

Results
E_tot = -4.7028 eV per atom
Formation enthalpy at 0 K = -0.27 eV/atom
SG = P2/m (10)

a = 4.906 Å, b = 6.848 Å, c = 7.732 Å
α = 90.00°, β = 71.65°, γ = 90.00°
Fractional positions:
Sc  0.831  0.252  0.339
Sc  0.831  0.748  0.339
Sc  0.169  0.748  0.661
Sc  0.169  0.252  0.661
Sc  0.500  0.744  0.000
Sc  0.500  0.256  0.000
Ag  0.334  0.500  0.332
Ag  0.338  0.000  0.324
Ag  0.666  0.500  0.668
Ag  0.000  0.500  0.000
Ag  0.662  0.000  0.676
Cd  0.000  0.000  0.000

=====

# 17
Crystalline Nd3SmNi at its relaxed geometry. Source: the Alexandria database, functional GGA-PBE.

Results
E_tot = -5.0824 eV per atom
Formation enthalpy at 0 K = -0.12 eV/atom
SG = Cm (8)

a = 3.757 Å, b = 6.427 Å, c = 13.017 Å
α = 86.86°, β = 81.70°, γ = 73.00°
Fractional positions:
Sm  0.222  0.557  0.000
Sm  0.111  0.506  0.273
Nd  0.436  0.613  0.515
Nd  0.777  0.055  0.391
Nd  0.103  0.161  0.632
Nd  0.990  0.109  0.911
Nd  0.771  0.698  0.759
Nd  0.442  0.966  0.151
Ni  0.763  0.345  0.129
Ni  0.446  0.327  0.780

=====

# 18
Crystalline SrThTl2Se4 at its relaxed geometry. Source: the Alexandria database, functional GGA-PBE.

Results
E_tot = -4.8149 eV per atom
SG = P2/m (10)
Formation energy without anion corrections = -1.343 eV per atom

a = 4.416 Å, b = 8.122 Å, c = 7.645 Å
α = 71.87°, β = 90.00°, γ = 90.00°
Fractional positions:
Se  0.500  0.710  0.280
Se  0.500  0.290  0.720
Se  0.000  0.712  0.741
Se  0.000  0.288  0.259
Th  0.000  0.500  0.500
Tl  0.000  0.000  0.000
Tl  0.500  0.000  0.500
Sr  0.500  0.500  0.000

=====

# 19
Crystalline YAs2Pb at its relaxed geometry. Source: the Alexandria database, functional GGA-PBE.

Results
E_tot = -5.3981 eV per atom
Formation enthalpy at 0 K = -0.53 eV/atom
SG = Imm2 (44)

a = 7.173 Å, b = 7.173 Å, c = 7.173 Å
α = 147.35°, β = 147.91°, γ = 46.44°
Fractional positions:
Pb  0.539  0.539  0.000
As  0.731  0.231  0.500
As  0.947  0.947  0.000
Y  0.283  0.783  0.500

=====

# 20
Crystalline Zn2CrAg at its relaxed geometry. Source: the Alexandria database, functional GGA-PBE.

Results
E_tot = -3.4559 eV per atom
Formation enthalpy at 0 K = 0.30 eV/atom
SG = R3m (160)

a = 9.367 Å, b = 9.367 Å, c = 9.367 Å
α = 16.70°, β = 16.70°, γ = 16.70°
Site moments in Bohr magnetons follow the coordinates.
Fractional positions:
Zn  0.251  0.251  0.251  -0.01
Zn  0.004  0.004  0.004  -0.01
Ag  0.498  0.498  0.498  0.00
Cr  0.747  0.747  0.747  0.67

=====

# 21
Crystalline SrMgAl4 at its relaxed geometry. Source: the Alexandria database, functional GGA-PBE.

Results
E_tot = -3.1849 eV per atom
Formation enthalpy at 0 K = -0.14 eV/atom
SG = P6/mmm (191)
Excess energy over the best structure of this formula in the dataset = 0.00 eV/f.u.

a = 4.638 Å, b = 4.638 Å, c = 7.249 Å
α = 90.00°, β = 90.00°, γ = 120.00°
Fractional positions:
Al  0.333  0.667  0.203
Al  0.333  0.667  0.797
Al  0.667  0.333  0.203
Al  0.667  0.333  0.797
Sr  0.000  0.000  0.500
Mg  0.000  0.000  0.000

=====

# 22
Crystalline YPuCuGe at its relaxed geometry. Source: the Alexandria database, functional GGA-PBE.

Results
E_tot = -7.7137 eV per atom
Formation enthalpy at 0 K = -0.34 eV/atom
SG = F-43m (216)

a = 4.995 Å, b = 4.995 Å, c = 4.995 Å
α = 60.00°, β = 60.00°, γ = 60.00°
Site moments in Bohr magnetons follow the coordinates.
Fractional positions:
Cu  0.500  0.500  0.500  0.05
Y  0.250  0.250  0.250  0.24
Ge  0.000  0.000  0.000  -0.06
Pu  0.750  0.750  0.750  5.41